Run A
PaAgRu2: relaxed, PBE.

Values from the calculation:
crystal system	tetragonal
symmetry	P4/mmm (123)
calculated volume	17.426	Å³ per atom

Cell lengths 4.2886, 4.2886, 3.7900 Å; angles 90.00, 90.00, 90.00 degrees
Sites, in units of the cell vectors:
Pa1 0.0000 0.0000 0.0000
Ag1 0.5000 0.5000 0.0000
Ru1 0.0000 0.5000 0.5000
Ru2 0.5000 0.0000 0.5000

***

Run B
PaAgRu2: relaxed, PBE.

Values from the calculation:
crystal system	cubic
symmetry	Fm-3m (225)
calculated volume	17.670	Å³ per atom

Cell lengths 4.6409, 4.6409, 4.6409 Å; angles 60.00, 60.00, 60.00 degrees
Sites, in units of the cell vectors:
Pa1 0.0000 0.0000 0.0000
Ag1 0.5000 0.5000 0.5000
Ru1 0.2500 0.2500 0.2500
Ru2 0.7500 0.7500 0.7500

***

Stability check: which of them is least stable? run B.

***

Run A
PaAgS3: relaxed, PBE.

Values from the calculation:
crystal system	orthorhombic
symmetry	Imma (74)
calculated volume	25.331	Å³ per atom

Cell lengths 7.5736, 7.5736, 7.5736 Å; angles 138.81, 114.09, 80.75 degrees
Sites, in units of the cell vectors:
Pa1 0.2860 0.0360 0.2500
Pa2 0.7140 0.9640 0.7500
Ag1 0.0000 0.5000 0.5000
Ag2 0.5000 0.5000 0.0000
S1 0.0937 0.1365 0.9572
S2 0.3207 0.8635 0.4572
S3 0.3574 0.6074 0.7500
S4 0.6426 0.3926 0.2500
S5 0.6793 0.1365 0.5428
S6 0.9063 0.8635 0.0428

***

Run B
PaAgS3: relaxed, PBE.

Values from the calculation:
crystal system	orthorhombic
symmetry	Pmc2_1 (26)
calculated volume	22.045	Å³ per atom

Cell lengths 3.9357, 8.3349, 6.7201 Å; angles 90.00, 90.00, 90.00 degrees
Sites, in units of the cell vectors:
Pa1 0.0000 0.1247 0.0000
Pa2 0.0000 0.8753 0.5000
Ag1 0.5000 0.3619 0.4413
Ag2 0.5000 0.6381 0.9413
S1 0.0000 0.2254 0.6323
S2 0.0000 0.7746 0.1323
S3 0.5000 0.0321 0.2970
S4 0.5000 0.3471 0.0545
S5 0.5000 0.6529 0.5545
S6 0.5000 0.9679 0.7970

***

Run C
PaAgS3: relaxed, PBE.

Values from the calculation:
crystal system	cubic
symmetry	Pm-3m (221)
calculated volume	28.179	Å³ per atom

Cell lengths 5.2036, 5.2036, 5.2036 Å; angles 90.00, 90.00, 90.00 degrees
Sites, in units of the cell vectors:
Pa1 0.0000 0.0000 0.0000
Ag1 0.5000 0.5000 0.5000
S1 0.0000 0.0000 0.5000
S2 0.0000 0.5000 0.0000
S3 0.5000 0.0000 0.0000

***

Stability check: which of them is least stable? run C.

***

Run A
PaAg3S4: relaxed, PBE.

Values from the calculation:
crystal system	cubic
symmetry	P-43m (215)
calculated volume	31.879	Å³ per atom

Cell lengths 6.3416, 6.3416, 6.3416 Å; angles 90.00, 90.00, 90.00 degrees
Sites, in units of the cell vectors:
Pa1 0.0000 0.0000 0.0000
Ag1 0.0000 0.0000 0.5000
Ag2 0.0000 0.5000 0.0000
Ag3 0.5000 0.0000 0.0000
S1 0.2308 0.2308 0.2308
S2 0.2308 0.7692 0.7692
S3 0.7692 0.2308 0.7692
S4 0.7692 0.7692 0.2308

***

Run B
PaAg3S4: relaxed, PBE.

Values from the calculation:
crystal system	orthorhombic
symmetry	Pmn2_1 (31)
calculated volume	24.119	Å³ per atom

Cell lengths 9.1156, 7.7406, 5.4691 Å; angles 90.00, 90.00, 90.00 degrees
Sites, in units of the cell vectors:
Pa1 0.0000 0.1736 0.0000
Pa2 0.5000 0.8264 0.5000
Ag1 0.0000 0.8454 0.5006
Ag2 0.2495 0.3296 0.4988
Ag3 0.2505 0.6704 0.9988
Ag4 0.5000 0.1546 0.0006
Ag5 0.7505 0.3296 0.4988
Ag6 0.7495 0.6704 0.9988
S1 0.0000 0.1764 0.4999
S2 0.0000 0.8414 0.0003
S3 0.2496 0.3294 0.9994
S4 0.2504 0.6706 0.4994
S5 0.5000 0.1586 0.5003
S6 0.5000 0.8236 0.9999
S7 0.7504 0.3294 0.9994
S8 0.7496 0.6706 0.4994

***

Stability check: which of them is least stable? run A.

***

Run A
Pa2AgSb: relaxed, PBE.

Values from the calculation:
crystal system	trigonal
symmetry	R-3m (166)
calculated volume	25.265	Å³ per atom

Cell lengths 11.8698, 11.8698, 11.8698 Å; angles 15.27, 15.27, 15.27 degrees
Sites, in units of the cell vectors:
Pa1 0.0891 0.0891 0.0891
Pa2 0.9108 0.9108 0.9108
Ag1 0.0000 0.0000 0.0000
Sb1 0.5000 0.5000 0.5000

***

Run B
Pa2AgSb: relaxed, PBE.

Values from the calculation:
crystal system	cubic
symmetry	Fm-3m (225)
calculated volume	25.211	Å³ per atom

Cell lengths 5.2246, 5.2246, 5.2246 Å; angles 60.00, 60.00, 60.00 degrees
Sites, in units of the cell vectors:
Pa1 0.2500 0.2500 0.2500
Pa2 0.7500 0.7500 0.7500
Ag1 0.0000 0.0000 0.0000
Sb1 0.5000 0.5000 0.5000

***

Stability check: which of them is least stable? run A.

***

Run A
Sc2PaAg: relaxed, PBE.

Values from the calculation:
crystal system	trigonal
symmetry	R-3m (166)
calculated volume	22.353	Å³ per atom

Cell lengths 10.9977, 10.9977, 10.9977 Å; angles 16.12, 16.12, 16.12 degrees
Sites, in units of the cell vectors:
Sc1 0.0918 0.0918 0.0918
Sc2 0.9082 0.9082 0.9082
Pa1 0.0000 0.0000 0.0000
Ag1 0.5000 0.5000 0.5000

***

Run B
Sc2PaAg: relaxed, PBE.

Values from the calculation:
crystal system	tetragonal
symmetry	P4/mmm (123)
calculated volume	22.077	Å³ per atom

Cell lengths 5.1657, 5.1657, 3.3094 Å; angles 90.00, 90.00, 90.00 degrees
Sites, in units of the cell vectors:
Sc1 0.0000 0.5000 0.0000
Sc2 0.5000 0.0000 0.0000
Pa1 0.0000 0.0000 0.5000
Ag1 0.5000 0.5000 0.5000

***

Stability check: which of them is least stable? run A.

***

Run A
PaSi2Ag: relaxed, PBE.

Values from the calculation:
crystal system	tetragonal
symmetry	P4/mmm (123)
calculated volume	19.063	Å³ per atom

Cell lengths 4.3765, 4.3765, 3.9811 Å; angles 90.00, 90.00, 90.00 degrees
Sites, in units of the cell vectors:
Pa1 0.0000 0.0000 0.0000
Si1 0.0000 0.5000 0.5000
Si2 0.5000 0.0000 0.5000
Ag1 0.5000 0.5000 0.0000

***

Run B
PaSi2Ag: relaxed, PBE.

Values from the calculation:
crystal system	trigonal
symmetry	R-3m (166)
calculated volume	29.670	Å³ per atom

Cell lengths 6.7702, 6.7702, 6.7702 Å; angles 40.62, 40.62, 40.62 degrees
Sites, in units of the cell vectors:
Pa1 0.0000 0.0000 0.0000
Si1 0.3698 0.3698 0.3698
Si2 0.6302 0.6302 0.6302
Ag1 0.5000 0.5000 0.5000

***

Stability check: which of them is least stable? run B.